Density functional theory data (PBE) for a relaxed Ac2Al3AgPt4 crystal.

The structure in CIF format:
```
data_Ac2Al3AgPt4
_chemical_formula_sum 'Ac2 Al3 Ag1 Pt4'
_cell_length_a 4.429
_cell_length_b 4.429
_cell_length_c 10.732
_cell_angle_alpha 90.00
_cell_angle_beta 90.00
_cell_angle_gamma 90.00
_space_group_name_H-M_alt 'P -4 m 2'
_space_group_IT_number 115
_space_group_name_Hall 'P -4 -2'
loop_
_atom_site_label
_atom_site_type_symbol
_atom_site_fract_x
_atom_site_fract_y
_atom_site_fract_z
Ac1 Ac 0.000 0.500 0.249
Al1 Al 0.000 0.500 0.885
Al2 Al 0.500 0.500 0.500
Ag1 Ag 0.000 0.000 0.500
Pt1 Pt 0.000 0.000 0.000
Pt2 Pt 0.000 0.500 0.652
Pt3 Pt 0.500 0.500 0.000
```

The volume comes out at 21.06 Å³ per atom. The spin magnetization comes out at 0.000 μB/cell. The calculation puts the formation energy at -957 meV per atom. The uncorrected energy comes out at -0.206 Ha/atom.



Density functional theory data (PBE) for a relaxed AcPuAlAg crystal.

The structure in CIF format:
```
data_AcPuAlAg
_chemical_formula_sum 'Ac4 Pu4 Al4 Ag4'
_cell_length_a 7.650
_cell_length_b 7.650
_cell_length_c 7.650
_cell_angle_alpha 90.00
_cell_angle_beta 90.00
_cell_angle_gamma 90.00
_space_group_name_H-M_alt 'F -4 3 m'
_space_group_IT_number 216
_space_group_name_Hall 'F -4 2 3'
loop_
_atom_site_label
_atom_site_type_symbol
_atom_site_fract_x
_atom_site_fract_y
_atom_site_fract_z
Ac1 Ac 0.000 0.000 0.000
Pu1 Pu 0.000 0.000 0.500
Al1 Al 0.250 0.250 0.250
Ag1 Ag 0.250 0.250 0.750
```

The volume comes out at 27.98 Å³ per atom. The spin magnetization comes out at 24.218 μB/cell. The calculation puts the formation energy at -32 meV per atom. The uncorrected energy comes out at -0.231 Ha/atom.



Density functional theory data (PBE) for a relaxed AcAlAg2S4 crystal.

The structure in CIF format:
```
data_AcAlAg2S4
_chemical_formula_sum 'Ac4 Al4 Ag8 S16'
_cell_length_a 10.515
_cell_length_b 11.650
_cell_length_c 7.645
_cell_angle_alpha 90.00
_cell_angle_beta 128.85
_cell_angle_gamma 90.00
_space_group_name_H-M_alt 'C 1 2/c 1'
_space_group_IT_number 15
_space_group_name_Hall '-C 2yc'
loop_
_atom_site_label
_atom_site_type_symbol
_atom_site_fract_x
_atom_site_fract_y
_atom_site_fract_z
Ac1 Ac 0.250 0.250 0.000
Al1 Al 0.000 0.000 0.000
Ag1 Ag 0.000 0.500 0.000
Ag2 Ag 0.250 0.250 0.500
S1 S 0.019 0.207 0.504
S2 S 0.222 0.004 0.402
```

Its uncorrected formation energy is -860 meV/atom. The volume comes out at 22.79 Å³ per atom. The spin magnetization comes out at 0.000 μB/cell. The uncorrected energy comes out at -0.170 Ha/atom.



Density functional theory data (PBE) for a relaxed AcAlAgSb crystal.

The structure in CIF format:
```
data_AcAlAgSb
_chemical_formula_sum 'Ac4 Al4 Ag4 Sb4'
_cell_length_a 7.503
_cell_length_b 7.503
_cell_length_c 7.503
_cell_angle_alpha 90.00
_cell_angle_beta 90.00
_cell_angle_gamma 90.00
_space_group_name_H-M_alt 'F -4 3 m'
_space_group_IT_number 216
_space_group_name_Hall 'F -4 2 3'
loop_
_atom_site_label
_atom_site_type_symbol
_atom_site_fract_x
_atom_site_fract_y
_atom_site_fract_z
Ac1 Ac 0.000 0.000 0.000
Al1 Al 0.250 0.250 0.250
Ag1 Ag 0.250 0.250 0.750
Sb1 Sb 0.000 0.000 0.500
```

Its uncorrected formation energy is -156 meV/atom. The volume comes out at 26.40 Å³ per atom. The spin magnetization comes out at 0.001 μB/cell. The uncorrected energy comes out at -0.142 Ha/atom.



Density functional theory data (PBE) for a relaxed AcScAlAg crystal.

The structure in CIF format:
```
data_AcScAlAg
_chemical_formula_sum 'Ac4 Sc4 Al4 Ag4'
_cell_length_a 7.475
_cell_length_b 7.475
_cell_length_c 7.475
_cell_angle_alpha 90.00
_cell_angle_beta 90.00
_cell_angle_gamma 90.00
_space_group_name_H-M_alt 'F -4 3 m'
_space_group_IT_number 216
_space_group_name_Hall 'F -4 2 3'
loop_
_atom_site_label
_atom_site_type_symbol
_atom_site_fract_x
_atom_site_fract_y
_atom_site_fract_z
Ac1 Ac 0.000 0.000 0.000
Sc1 Sc 0.000 0.000 0.500
Al1 Al 0.250 0.250 0.250
Ag1 Ag 0.250 0.250 0.750
```

The volume comes out at 26.10 Å³ per atom. The spin magnetization comes out at 0.005 μB/cell. The calculation puts the formation energy at -173 meV per atom. The uncorrected energy comes out at -0.163 Ha/atom.



Density functional theory data (PBE) for a relaxed Ac2Al4SiAg3 crystal.

The structure in CIF format:
```
data_Ac2Al4SiAg3
_chemical_formula_sum 'Ac2 Al4 Si1 Ag3'
_cell_length_a 4.545
_cell_length_b 4.545
_cell_length_c 10.763
_cell_angle_alpha 90.00
_cell_angle_beta 90.00
_cell_angle_gamma 90.00
_space_group_name_H-M_alt 'P -4 m 2'
_space_group_IT_number 115
_space_group_name_Hall 'P -4 -2'
loop_
_atom_site_label
_atom_site_type_symbol
_atom_site_fract_x
_atom_site_fract_y
_atom_site_fract_z
Ac1 Ac 0.000 0.500 0.243
Al1 Al 0.000 0.000 0.500
Al2 Al 0.000 0.500 0.876
Al3 Al 0.500 0.500 0.500
Si1 Si 0.500 0.500 0.000
Ag1 Ag 0.000 0.000 0.000
Ag2 Ag 0.000 0.500 0.632
```

Its uncorrected formation energy is -357 meV/atom. The volume comes out at 22.23 Å³ per atom. The spin magnetization comes out at 0.000 μB/cell. The uncorrected energy comes out at -0.150 Ha/atom.